The following is a DFT calculation (PBE) of an optimized crystal structure of BaAg13.

Values from the calculation:
- ΔE_f: -0.0441 eV per atom
- Total magnetic moment: 0.0 μB/f.u.
- Crystal system: cubic
- DOS at the Fermi energy: 55.56 states/eV/cell

a = 13.3057 Å, b = 13.3057 Å, c = 13.3057 Å
α = 90.00°, β = 90.00°, γ = 90.00°
Last column: nearest neighbours and their distance in Å.
Space group Fm-3c (No. 226)
Inequivalent atoms, fractional coordinates:
Ba (0.2500, 0.2500, 0.2500)  24 Ag 3.88
Ag (0.0000, 0.0000, 0.0000)  12 Ag 2.87
Ag (0.0000, 0.1172, 0.1807)  10 Ag 2.82-3.12

=====

The following is a DFT calculation (PBE) of an optimized crystal structure of Ba2NbClO4.

Values from the calculation:
- Total magnetic moment: 0.0 μB/f.u.
- Crystal system: monoclinic
- DOS at the Fermi energy: 0.00 states/eV/cell
- Energy relative to the elements, uncorrected: -2.511 eV/atom

a = 9.8943 Å, b = 3.4292 Å, c = 10.5107 Å
α = 90.00°, β = 112.11°, γ = 90.00°
Last column: nearest neighbours and their distance in Å.
Space group C2/m (No. 12)
Inequivalent atoms, fractional coordinates:
Ba (0.1660, 0.0000, 0.2616)  2 O 2.58
Nb (0.0000, 0.0000, 0.5000)  6 O 1.94-2.15
Cl (0.0000, 0.5000, 0.0000)  4 Ba 3.13, 2 Cl 3.43
O (0.1119, 0.5000, 0.4635)  2 Nb 2.15
O (0.1267, 0.0000, 0.6930)  1 Nb 1.94

=====

The following is a DFT calculation (PBE) of an optimized crystal structure of Ir6OsRu2.

Values from the calculation:
- ΔE_f: 0.4902 eV per atom
- Total magnetic moment: 0.0 μB/f.u.
- Excess energy over the best structure of this formula in the dataset: 207.8 meV per atom
- Crystal system: trigonal
- DOS at the Fermi energy: 25.43 states/eV/cell

a = 5.2812 Å, b = 5.2812 Å, c = 18.4115 Å
α = 90.00°, β = 90.00°, γ = 120.00°
Last column: nearest neighbours and their distance in Å.
Space group R3m (No. 160, hexagonal axes)
Inequivalent atoms, fractional coordinates:
Ir (0.1716, 0.3432, 0.0000)  1 Os 2.48, 6 Ir 2.56-2.72
Ir (0.1724, 0.3448, 0.2139)  6 Ir 2.55-2.73, 1 Os 2.57, 2 Ru 2.74
Os (0.0000, 0.0000, 0.1040)  6 Ir 2.48-2.57
Ru (0.0000, 0.0000, 0.7154)  1 Ru 2.32
Ru (0.0000, 0.0000, 0.8412)  1 Ru 2.32

=====

The following is a DFT calculation (PBE) of an optimized crystal structure of Fe2GeSb.

Values from the calculation:
- Total magnetic moment: 4.6 μB/f.u.
- Excess energy over the best structure of this formula in the dataset: 124.0 meV per atom
- Crystal system: tetragonal
- DOS at the Fermi energy: 10.54 states/eV/cell
- Energy relative to the elements, uncorrected: 0.384 eV/atom

a = 4.1105 Å, b = 4.1105 Å, c = 16.7405 Å
α = 90.00°, β = 90.00°, γ = 90.00°
Last column: nearest neighbours and their distance in Å.
Space group I-42d (No. 122)
Inequivalent atoms, fractional coordinates:
Fe (0.1735, 0.2500, 0.1250)  2 Ge 2.44, 2 Fe 2.50, 2 Sb 2.69
Ge (0.0000, 0.0000, 0.0000)  4 Fe 2.44
Sb (0.0000, 0.0000, 0.5000)  4 Fe 2.69, 4 Ge 2.91